[1]
The following is a DFT calculation (PBE-GGA) of CePrBi6 after structural relaxation.

SG: Amm2, No. 38
Formation energy (eV/atom): -0.37
DOS at the Fermi energy (states/eV/cell): 8.91
VASP energy (eV per cell): -36.97

a = 4.664 Å, b = 11.965 Å, c = 11.965 Å
α = 22.73°, β = 90.00°, γ = 90.00°
Fractional coordinates of all 8 atoms:
Ce  0.000  0.000  0.000
Pr  0.500  0.351  0.351
Bi  0.000  0.242  0.242
Bi  0.000  0.611  0.611
Bi  0.000  0.862  0.862
Bi  0.500  0.110  0.110
Bi  0.500  0.490  0.490
Bi  0.500  0.731  0.731

[2]
The following is a DFT calculation (PBE-GGA) of CePrBi2 after structural relaxation.

Energy above the lowest structure with this stoichiometry (meV per atom): 204
SG: Fm-3m, No. 225
Formation energy (eV/atom): -0.68
DOS at the Fermi energy (states/eV/cell): 7.90
VASP energy (eV per cell): -21.18

a = 5.622 Å, b = 5.622 Å, c = 5.622 Å
α = 60.00°, β = 60.00°, γ = 60.00°
Fractional coordinates of all 4 atoms:
Ce  0.000  0.000  0.000
Pr  0.500  0.500  0.500
Bi  0.250  0.250  0.250
Bi  0.750  0.750  0.750

[3]
The following is a DFT calculation (PBE-GGA) of Ce2Pr2Bi5 after structural relaxation.

SG: Cmce, No. 64
Formation energy (eV/atom): -0.72
DOS at the Fermi energy (states/eV/cell): 19.86
VASP energy (eV per cell): -94.69

a = 9.124 Å, b = 9.124 Å, c = 8.622 Å
α = 90.00°, β = 90.00°, γ = 55.96°
Fractional coordinates of all 18 atoms:
Ce  0.193  0.193  0.000
Ce  0.307  0.307  0.500
Ce  0.693  0.693  0.500
Ce  0.807  0.807  0.000
Pr  0.153  0.847  0.656
Pr  0.347  0.653  0.156
Pr  0.653  0.347  0.844
Pr  0.847  0.153  0.344
Bi  0.000  0.000  0.000
Bi  0.012  0.701  0.347
Bi  0.201  0.512  0.847
Bi  0.299  0.988  0.347
Bi  0.488  0.799  0.847
Bi  0.500  0.500  0.500
Bi  0.512  0.201  0.153
Bi  0.701  0.012  0.653
Bi  0.799  0.488  0.153
Bi  0.988  0.299  0.653

[4]
The following is a DFT calculation (PBE-GGA) of CePrBi after structural relaxation.

SG: Immm, No. 71
Formation energy (eV/atom): -0.35
DOS at the Fermi energy (states/eV/cell): 11.50
VASP energy (eV per cell): -31.27

a = 10.055 Å, b = 10.055 Å, c = 10.055 Å
α = 160.14°, β = 145.79°, γ = 39.87°
Fractional coordinates of all 6 atoms:
Ce  0.225  0.000  0.225
Ce  0.775  0.000  0.775
Pr  0.171  0.671  0.500
Pr  0.829  0.329  0.500
Bi  0.346  0.846  0.500
Bi  0.654  0.154  0.500

[5]
The following is a DFT calculation (PBE-GGA) of CePrBi2 after structural relaxation.

Energy above the lowest structure with this stoichiometry (meV per atom): 3
SG: Pmmn, No. 59
Formation energy (eV/atom): -0.88
DOS at the Fermi energy (states/eV/cell): 15.37
VASP energy (eV per cell): -43.97

a = 4.611 Å, b = 6.533 Å, c = 9.259 Å
α = 90.00°, β = 90.00°, γ = 90.00°
Fractional coordinates of all 8 atoms:
Ce  0.250  0.250  0.125
Ce  0.750  0.750  0.875
Pr  0.250  0.250  0.624
Pr  0.750  0.750  0.376
Bi  0.250  0.750  0.122
Bi  0.250  0.750  0.629
Bi  0.750  0.250  0.371
Bi  0.750  0.250  0.878

[6]
The following is a DFT calculation (PBE-GGA) of Ce2PrBi after structural relaxation.

Energy above the lowest structure with this stoichiometry (meV per atom): 580
SG: R-3m, No. 166
Formation energy (eV/atom): 0.12
DOS at the Fermi energy (states/eV/cell): 9.92
VASP energy (eV per cell): -20.05

a = 12.619 Å, b = 12.619 Å, c = 12.619 Å
α = 15.92°, β = 15.92°, γ = 15.92°
Fractional coordinates of all 4 atoms:
Ce  0.087  0.087  0.087
Ce  0.913  0.913  0.913
Pr  0.500  0.500  0.500
Bi  0.000  0.000  0.000

Repeat the fifth record exactly.
The following is a DFT calculation (PBE-GGA) of CePrBi2 after structural relaxation.

Energy above the lowest structure with this stoichiometry (meV per atom): 3
SG: Pmmn, No. 59
Formation energy (eV/atom): -0.88
DOS at the Fermi energy (states/eV/cell): 15.37
VASP energy (eV per cell): -43.97

a = 4.611 Å, b = 6.533 Å, c = 9.259 Å
α = 90.00°, β = 90.00°, γ = 90.00°
Fractional coordinates of all 8 atoms:
Ce  0.250  0.250  0.125
Ce  0.750  0.750  0.875
Pr  0.250  0.250  0.624
Pr  0.750  0.750  0.376
Bi  0.250  0.750  0.122
Bi  0.250  0.750  0.629
Bi  0.750  0.250  0.371
Bi  0.750  0.250  0.878

- Which formula does entry 1 have?
  CePrBi6